[1]
DyPuAlTc PBE relaxed; SG = No. 216; DOS(E_F) = 2.341 states/eV/atom; total magnetization = 4.79 μB per cell; formation enthalpy at 0 K = -0.021 eV per atom
1.0
4.9330 0.0000 0.0000
2.4665 4.2721 0.0000
2.4665 1.4240 4.0278
Al Dy Tc Pu
1 1 1 1
direct
0.2500 0.2500 0.2500
0.0000 0.0000 0.0000
0.7500 0.7500 0.7500
0.5000 0.5000 0.5000

[2]
DyPuAlTl PBE relaxed; SG = No. 216; DOS(E_F) = 2.151 states/eV/atom; total magnetization = 5.87 μB per cell; formation enthalpy at 0 K = -0.145 eV per atom
1.0
5.2636 0.0000 0.0000
2.6318 4.5584 0.0000
2.6318 1.5195 4.2977
Tl Dy Al Pu
1 1 1 1
direct
0.7500 0.7500 0.7500
0.5000 0.5000 0.5000
0.2500 0.2500 0.2500
0.0000 0.0000 0.0000

[3]
DyPuAlZn PBE relaxed; SG = No. 216; DOS(E_F) = 1.813 states/eV/atom; total magnetization = 5.97 μB per cell; formation enthalpy at 0 K = -0.193 eV per atom
1.0
-2.0970 -2.9174 -3.6003
-0.8874 -4.9242 0.9142
-4.7754 -1.6663 0.5388
Zn Dy Al Pu
1 1 1 1
direct
0.0000 0.0000 0.0000
0.7500 0.7500 0.7500
0.5000 0.5000 0.5000
0.2500 0.2500 0.2500

[4]
Rb2DyAlS4 PBE relaxed; SG = No. 74; energy relative to the elements, uncorrected = -10.44 eV/f.u.; total magnetization = 0.00 μB per cell
1.0
8.2682 -0.0123 -0.1952
-0.0181 8.2682 -0.1952
-4.1826 -4.1856 6.0359
Rb Dy Al S
4 2 2 8
direct
0.5000 0.0000 0.0000
0.5000 0.0000 0.5000
0.0000 0.0000 0.5000
0.5000 0.5000 0.0000
0.0000 0.5000 0.0000
0.0000 0.5000 0.5000
0.5000 0.5000 0.5000
0.0000 0.0000 0.0000
0.1908 0.7501 0.9704
0.7499 0.3092 0.5296
0.2501 0.6908 0.4704
0.8092 0.2499 0.0296
0.7633 0.7374 0.9448
0.7626 0.7367 0.5552
0.2374 0.2633 0.4448
0.2367 0.2626 0.0552

[5]
Rb2DyAlSe4 PBE relaxed; SG = No. 74; energy relative to the elements, uncorrected = -9.67 eV/f.u.; total magnetization = 0.00 μB per cell
1.0
8.6524 -0.0253 -0.1957
-0.0314 8.6524 -0.1957
-4.3591 -4.3621 6.2983
Rb Dy Al Se
4 2 2 8
direct
0.5000 0.0000 0.0000
0.5000 0.0000 0.5000
0.0000 0.0000 0.5000
0.5000 0.5000 0.0000
0.0000 0.5000 0.0000
0.0000 0.5000 0.5000
0.5000 0.5000 0.5000
0.0000 0.0000 0.0000
0.1954 0.7488 0.9720
0.7512 0.3046 0.5280
0.2488 0.6954 0.4720
0.8046 0.2512 0.0280
0.7629 0.7377 0.9475
0.7623 0.7371 0.5525
0.2377 0.2629 0.4475
0.2371 0.2623 0.0525

[6]
RbDyAlTe4 PBE relaxed; SG = No. 11; DOS(E_F) = 0.269 states/eV/atom; energy relative to the elements, uncorrected = -6.36 eV/f.u.; total magnetization = 0.00 μB per cell
1.0
-3.5295 -6.1608 -2.8464
3.9565 -3.9031 3.5419
-5.0992 2.7191 8.6925
Rb Dy Al Te
2 2 2 8
direct
0.7555 0.7500 0.9473
0.2445 0.2500 0.0527
0.7452 0.7500 0.4472
0.2548 0.2500 0.5528
0.2596 0.7500 0.3323
0.7404 0.2500 0.6677
0.0190 0.5092 0.7052
0.9810 0.0092 0.2948
0.9810 0.4908 0.2948
0.0190 0.9908 0.7052
0.4484 0.7500 0.1672
0.5516 0.2500 0.8328
0.4323 0.7500 0.5862
0.5677 0.2500 0.4138

> Which formula does entry 5 have?

Rb2DyAlSe4